First-principles (GGA-PBE) data for a relaxed structure of NaTiSnP3O12, as listed in Alexandria.

Properties
Raw formation energy (kJ/mol of formula units): -4005.6
Magnetization (μB per cell): 0.00
Space group: R3c
Density (Mg/m³): 3.246
Calculated volume (Å³/atom): 13.5

Cell and atoms, written as CIF:
```
data_NaTiSnP3O12
_chemical_formula_sum 'Na2 Ti2 Sn2 P6 O24'
_cell_length_a 8.971
_cell_length_b 8.971
_cell_length_c 8.971
_cell_angle_alpha 57.87
_cell_angle_beta 57.87
_cell_angle_gamma 57.87
_space_group_name_H-M_alt 'P 1'
_space_group_IT_number 1
_space_group_name_Hall 'P 1'
loop_
_atom_site_label
_atom_site_type_symbol
_atom_site_fract_x
_atom_site_fract_y
_atom_site_fract_z
O1 O 0.280 0.519 0.123
O2 O 0.427 0.225 0.587
O3 O 0.123 0.280 0.519
O4 O 0.369 0.998 0.213
O5 O 0.929 0.279 0.054
O6 O 0.019 0.780 0.623
O7 O 0.998 0.213 0.369
O8 O 0.725 0.927 0.087
O9 O 0.779 0.429 0.554
O10 O 0.780 0.623 0.019
O11 O 0.054 0.929 0.279
O12 O 0.498 0.869 0.713
O13 O 0.429 0.554 0.779
O14 O 0.279 0.054 0.929
O15 O 0.587 0.427 0.225
O16 O 0.213 0.369 0.998
O17 O 0.713 0.498 0.869
O18 O 0.087 0.725 0.927
O19 O 0.623 0.019 0.780
O20 O 0.519 0.123 0.280
O21 O 0.869 0.713 0.498
O22 O 0.554 0.779 0.429
O23 O 0.927 0.087 0.725
O24 O 0.225 0.587 0.427
Na1 Na 0.501 0.501 0.501
Na2 Na 0.001 0.001 0.001
P1 P 0.752 0.457 0.038
P2 P 0.252 0.538 0.957
P3 P 0.457 0.038 0.752
P4 P 0.538 0.957 0.252
P5 P 0.038 0.752 0.457
P6 P 0.957 0.252 0.538
Sn1 Sn 0.353 0.353 0.353
Sn2 Sn 0.853 0.853 0.853
Ti1 Ti 0.645 0.645 0.645
Ti2 Ti 0.145 0.145 0.145
```